Computed, not measured: a relaxed Pm4NiAsI2 crystal at the GGA-PBE level of DFT.

Lattice parameters (Å, degrees): 7.5882 4.1106 8.0384 90.00 106.52 90.00
With the nearest neighbours (Å) after each atom.
Atoms (fractional coordinates):
1 Pm 0.2072 0.0000 0.1856  2 Ni 2.75, 1 As 3.01
2 Pm 0.2594 0.5000 0.8036  1 Ni 2.85, 2 As 2.90
3 Pm 0.7406 0.5000 0.1964  1 Ni 2.85, 2 As 2.90
4 Pm 0.7928 0.0000 0.8144  2 Ni 2.75, 1 As 3.01
5 Ni 0.0000 0.5000 0.0000  6 Pm 2.75-2.85
6 As 0.5000 0.0000 0.0000  6 Pm 2.90-3.01
7 I 0.0000 0.0000 0.5000  6 Pm 3.33-3.37
8 I 0.5000 0.5000 0.5000  6 Pm 3.44-3.52

DOS at the Fermi energy in states/eV/f.u.: 5.870
Uncorrected formation energy in eV per atom: -0.953
Mass density in g/cm³: 6.7
Calculated total energy in eV per atom: -5.02
SG: P2/m